[1]
Computed, not measured: crystalline Tc2Ir3 at its relaxed geometry at the PBE-GGA level of DFT.

extended XYZ file:
```
5
Lattice="-7.3916 -2.6199 0.1358 -5.4284 -5.6586 0.1743 -6.0148 -3.8448 3.2492" Properties=species:S:1:pos:R:3 pbc="T T T"
Ir -14.9251 -9.6067 2.8205
Ir -3.9096 -2.5165 0.7388
Ir 0.0000 0.0000 0.0000
Tc -7.6001 -4.8919 1.4363
Tc -11.2346 -7.2313 2.1231
```

Output
DFT formation energy in eV/atom: 0.917
Symmetry: R-3m (166)
E above lowest polymorph in eV/atom: 0.932
M_tot in μB per atom: 0.00

---

[2]
Computed, not measured: crystalline Tc2Ir3 at its relaxed geometry at the PBE-GGA level of DFT.

extended XYZ file:
```
5
Lattice="2.1093 -3.6534 0.0000 2.1093 3.6534 0.0000 0.0000 0.0000 5.3076" Properties=species:S:1:pos:R:3 pbc="T T T"
Ir 2.1093 1.2178 1.9756
Ir 2.1093 -1.2178 3.3320
Ir 0.0000 0.0000 0.0000
Tc 2.1093 1.2178 4.5629
Tc 2.1093 -1.2178 0.7447
```

Output
DFT formation energy in eV/atom: 0.507
Symmetry: P-3m1 (164)
E above lowest polymorph in eV/atom: 0.522
M_tot in μB per atom: 0.00

---

[3]
Computed, not measured: crystalline Tc3Ir at its relaxed geometry at the PBE-GGA level of DFT.

extended XYZ file:
```
4
Lattice="-0.2542 -0.7502 -2.6182 1.4959 -2.2359 0.4954 -6.4702 -3.9395 1.7571" Properties=species:S:1:pos:R:3 pbc="T T T"
Ir 0.0000 0.0000 0.0000
Tc -4.2214 -4.4414 0.2536
Tc -3.2351 -1.9698 0.8786
Tc -1.0072 -2.4843 -0.6193
```

Output
DFT formation energy in eV/atom: -0.048
Symmetry: P4/mmm (123)
E above lowest polymorph in eV/atom: 0.169
M_tot in μB per atom: 0.00

---

[4]
Computed, not measured: crystalline Tc3Ir at its relaxed geometry at the PBE-GGA level of DFT.

extended XYZ file:
```
24
Lattice="-4.1755 -1.9052 3.0462 -1.8337 -2.1280 -3.8445 6.9882 -10.9520 2.7290" Properties=species:S:1:pos:R:3 pbc="T T T"
Tc -0.7429 -7.2647 -0.5433
Tc -5.0855 -4.6188 0.0635
Tc -0.2534 -9.2661 1.3282
Tc -3.0297 -3.6808 -1.4363
Tc -3.2137 -6.2892 -0.8677
Tc -1.0546 -2.1350 -0.2905
Tc -1.2512 -4.7531 0.2717
Tc 0.1599 -11.1765 3.1691
Tc 4.1925 -8.6958 2.7984
Tc 1.7217 -7.7203 2.4739
Tc 4.0085 -11.3043 3.3669
Tc 0.8188 -3.8086 -1.2385
Tc 1.2322 -5.7189 0.6025
Tc 2.0334 -12.8500 2.2211
Tc -2.7988 -8.2027 0.9565
Tc 3.7775 -6.7823 0.9741
Tc 6.0643 -10.3662 1.8671
Tc 2.2300 -10.2319 1.6589
Ir 2.1043 -9.6489 4.3205
Ir 4.1388 -11.9250 0.7050
Ir -0.8379 -6.6992 2.1324
Ir -3.1600 -3.0600 1.2256
Ir -1.1255 -5.3361 -2.3899
Ir 1.8167 -8.2858 -0.2018
```

Output
DFT formation energy in eV/atom: -0.133
Symmetry: Pmmn (59)
E above lowest polymorph in eV/atom: 0.084
M_tot in μB per atom: 0.00

---

[5]
Computed, not measured: crystalline TcTe2Ir at its relaxed geometry at the PBE-GGA level of DFT.

extended XYZ file:
```
4
Lattice="0.0000 3.3542 3.3542 3.3542 0.0000 3.3542 3.3542 3.3542 0.0000" Properties=species:S:1:pos:R:3 pbc="T T T"
Te 5.0313 5.0313 5.0313
Te 1.6771 1.6771 1.6771
Ir 3.3542 3.3542 3.3542
Tc 0.0000 0.0000 0.0000
```

Output
E_form (uncorrected) in eV/atom: 0.519
Symmetry: Fm-3m (225)
E above lowest polymorph in eV/atom: 0.547
M_tot in μB per atom: 0.38

---

[6]
Computed, not measured: crystalline TcTeIr at its relaxed geometry at the PBE-GGA level of DFT.

extended XYZ file:
```
6
Lattice="2.8807 0.0000 0.0000 0.0000 4.7529 0.0000 1.4027 1.8536 9.7080" Properties=species:S:1:pos:R:3 pbc="T T T"
Tc 2.1418 4.9200 3.8360
Tc 2.1416 1.6865 5.8720
Te 3.5830 5.4660 8.1499
Te 0.7004 1.1405 1.5581
Ir 3.5823 4.1215 5.8681
Ir 0.7011 2.4851 3.8399
```

Output
E_form (uncorrected) in eV/atom: 0.021
Symmetry: P-1 (2)
E above lowest polymorph in eV/atom: 0.060
M_tot in μB per atom: 0.00

---

[7]
Computed, not measured: crystalline TcTe2Ir at its relaxed geometry at the PBE-GGA level of DFT.

extended XYZ file:
```
4
Lattice="5.5300 -0.0054 0.0000 2.6652 4.8453 0.0000 -4.0976 -2.4200 2.8168" Properties=species:S:1:pos:R:3 pbc="T T T"
Ir 4.0976 2.4200 0.0000
Te 1.3326 2.4227 1.4084
Te 0.0000 0.0000 0.0000
Tc 2.7650 -0.0027 1.4084
```

Output
E_form (uncorrected) in eV/atom: 0.664
Symmetry: I-4m2 (119)
E above lowest polymorph in eV/atom: 0.692
M_tot in μB per atom: 0.00

---

[8]
Computed, not measured: crystalline TcTe2Ir at its relaxed geometry at the PBE-GGA level of DFT.

extended XYZ file:
```
4
Lattice="-3.2853 -3.1079 2.5495 -3.6569 -3.6016 -0.7797 2.6183 -3.9068 0.2871" Properties=species:S:1:pos:R:3 pbc="T T T"
Tc -1.3003 -2.5826 0.5281
Te -3.4928 -7.5987 1.5167
Te -6.6754 -6.9849 1.7809
Ir -1.9596 -5.4674 1.0295
```

Output
E_form (uncorrected) in eV/atom: 0.377
Symmetry: Cm (8)
E above lowest polymorph in eV/atom: 0.406
M_tot in μB per atom: 0.00

---

no.,E_tot (eV per cell)
1,-42.7
2,-44.8
3,-40.2
4,-242.9
5,-23.4
6,-44.6
7,-22.9
8,-24.0